w | 3
Lattice="-2.305 -2.416 2.971 -3.637 -2.253 -1.292 0.089 -4.464 -0.199" Properties=species:S:1:pos:R:3 comment="CaCuRh (GGA-PBE, optimized geometry)" sg="No. 216" crystal_system=cubic density_g_cm3=5.4 total_magnetization_mub_per_fu=0.000 pbc="T T T"
Rh -2.926 -4.566 0.740
Ca -4.390 -6.849 1.110
Cu 0.000 0.000 0.000

x | 3
Lattice="4.200 0.000 0.000 -2.100 3.638 0.000 0.000 0.000 3.913" Properties=species:S:1:pos:R:3 comment="CaCuRh (GGA-PBE, optimized geometry)" sg="No. 187" crystal_system=hexagonal density_g_cm3=5.7 total_magnetization_mub_per_fu=0.000 pbc="T T T"
Cu 0.000 2.425 1.956
Rh 2.100 1.213 1.956
Ca 0.000 0.000 0.000

Stability, lowest: w